P) A relaxed CrRe2Mo crystal. Source: Alexandria, functional GGA-PBE.

a = 4.3294 Å, b = 2.6720 Å, c = 5.1148 Å
α = 79.47°, β = 90.00°, γ = 90.00°
Last column: nearest neighbours and their distance in Å.
Fractional positions:
Re  0.0000  0.9811  0.0046  2 Cr 2.61-2.71, 4 Re 2.67-2.68, 2 Mo 2.69
Cr  0.0000  0.5221  0.5013  2 Mo 2.60, 4 Re 2.61-2.71, 2 Cr 2.67
Re  0.5000  0.2585  0.2534  2 Mo 2.62-2.70, 2 Cr 2.67, 4 Re 2.67-2.68
Mo  0.5000  0.7383  0.7407  2 Cr 2.60, 4 Re 2.62-2.70, 2 Mo 2.67

Properties
* space group: Pm (6)
* density: 14.85 g/cm3



Q) A relaxed CrRe2Mo crystal. Source: Alexandria, functional GGA-PBE.

a = 4.7447 Å, b = 4.7447 Å, c = 4.7447 Å
α = 131.63°, β = 131.63°, γ = 70.81°
Last column: nearest neighbours and their distance in Å.
Fractional positions:
Re  0.5000  0.5000  0.0000  4 Mo 2.74, 4 Cr 2.74, 4 Re 2.75
Re  0.0000  0.0000  0.0000  4 Cr 2.74, 4 Mo 2.74, 4 Re 2.75
Cr  0.2500  0.7500  0.5000  8 Re 2.74, 4 Mo 2.75
Mo  0.7500  0.2500  0.5000  8 Re 2.74, 4 Cr 2.75

Properties
* space group: I4/mmm (139)
* density: 14.78 g/cm3



Short version: P) is the most stable of them.



P) A relaxed CrRe2Mo crystal. Source: Alexandria, functional GGA-PBE.

a = 3.8680 Å, b = 3.8829 Å, c = 3.8829 Å
α = 90.00°, β = 90.00°, γ = 90.00°
Last column: nearest neighbours and their distance in Å.
Fractional positions:
Re  0.0000  0.5000  0.5000  4 Mo 2.74, 4 Cr 2.74, 4 Re 2.75
Mo  0.5000  0.0000  0.5000  8 Re 2.74, 4 Cr 2.75
Cr  0.5000  0.5000  0.0000  8 Re 2.74, 4 Mo 2.75
Re  0.0000  0.0000  0.0000  4 Cr 2.74, 4 Mo 2.74, 4 Re 2.75

Properties
* space group: P4/mmm (123)
* density: 14.82 g/cm3



Q) A relaxed CrRe2Mo crystal. Source: Alexandria, functional GGA-PBE.

a = 9.0655 Å, b = 9.0655 Å, c = 9.0655 Å
α = 17.47°, β = 17.47°, γ = 17.47°
Last column: nearest neighbours and their distance in Å.
Fractional positions:
Re  0.9981  0.9981  0.9981  9 Re 2.75-2.76, 3 Mo 2.84
Mo  0.7529  0.7529  0.7529  3 Cr 2.72, 6 Mo 2.75, 3 Re 2.84
Re  0.2471  0.2471  0.2471  3 Cr 2.64, 9 Re 2.75-2.76
Cr  0.5019  0.5019  0.5019  3 Re 2.64, 3 Mo 2.72, 6 Cr 2.75

Properties
* space group: R3m (160)
* density: 14.74 g/cm3



Short version: P) is the most stable of them.



P) A relaxed CrReMo2 crystal. Source: Alexandria, functional GGA-PBE.

a = 5.1137 Å, b = 5.1137 Å, c = 4.3697 Å
α = 64.62°, β = 64.62°, γ = 35.16°
Last column: nearest neighbours and their distance in Å.
Fractional positions:
Mo  0.9960  0.9960  0.0038  2 Cr 2.63, 4 Re 2.68, 2 Mo 2.69
Mo  0.7488  0.7488  0.7512  4 Cr 2.68, 2 Mo 2.69, 2 Re 2.70
Re  0.5035  0.5035  0.4966  2 Cr 2.66, 6 Mo 2.68-2.70
Cr  0.2516  0.2516  0.2484  6 Mo 2.63-2.68, 2 Re 2.66

Properties
* space group: Cm (8)
* density: 12.15 g/cm3



Q) A relaxed CrReMo2 crystal. Source: Alexandria, functional GGA-PBE.

a = 3.9023 Å, b = 3.9023 Å, c = 3.9023 Å
α = 90.00°, β = 90.00°, γ = 90.00°
Last column: nearest neighbours and their distance in Å.
Fractional positions:
Cr  0.5000  0.0000  0.5000  8 Mo 2.76, 4 Re 2.76
Mo  0.0000  0.0000  0.0000  4 Cr 2.76, 4 Re 2.76, 4 Mo 2.76
Re  0.5000  0.5000  0.0000  8 Mo 2.76, 4 Cr 2.76
Mo  0.0000  0.5000  0.5000  4 Cr 2.76, 4 Re 2.76, 4 Mo 2.76

Properties
* space group: P4/mmm (123)
* density: 12.02 g/cm3



R) A relaxed CrReMo2 crystal. Source: Alexandria, functional GGA-PBE.

a = 6.9828 Å, b = 6.9828 Å, c = 5.5685 Å
α = 51.17°, β = 51.17°, γ = 90.00°
Last column: nearest neighbours and their distance in Å.
Fractional positions:
Mo  0.8750  0.8604  0.7500  2 Cr 2.48, 2 Mo 2.58, 2 Re 2.62
Cr  0.5000  0.5000  0.0000  4 Mo 2.48, 2 Re 2.57
Mo  0.6104  0.1250  0.2500  2 Cr 2.48, 2 Mo 2.58, 2 Re 2.62
Re  0.7500  0.2500  0.5000  2 Cr 2.57, 4 Mo 2.62
Mo  0.1396  0.6250  0.2500  2 Cr 2.48, 2 Mo 2.58, 2 Re 2.62
Mo  0.3750  0.3896  0.7500  2 Cr 2.48, 2 Mo 2.58, 2 Re 2.62
Re  0.0000  0.0000  0.0000  2 Cr 2.57, 4 Mo 2.62
Cr  0.2500  0.7500  0.5000  4 Mo 2.48, 2 Re 2.57

Properties
* space group: I-42d (122)
* density: 11.38 g/cm3



S) A relaxed CrReMo2 crystal. Source: Alexandria, functional GGA-PBE.

a = 4.3668 Å, b = 4.3668 Å, c = 4.3668 Å
α = 60.00°, β = 60.00°, γ = 60.00°
Last column: nearest neighbours and their distance in Å.
Fractional positions:
Mo  0.7500  0.7500  0.7500  4 Re 2.67, 4 Cr 2.67
Mo  0.2500  0.2500  0.2500  4 Re 2.67, 4 Cr 2.67
Re  0.5000  0.5000  0.5000  8 Mo 2.67
Cr  0.0000  0.0000  0.0000  8 Mo 2.67

Properties
* space group: Fm-3m (225)
* density: 12.13 g/cm3



Short version: S) is the most stable of them.



P) A relaxed CrReMo6 crystal. Source: Alexandria, functional GGA-PBE.

a = 4.4271 Å, b = 5.4136 Å, c = 5.4136 Å
α = 109.48°, β = 90.00°, γ = 90.00°
Last column: nearest neighbours and their distance in Å.
Fractional positions:
Mo  0.5000  0.1250  0.3750  2 Cr 2.71, 2 Re 2.71, 4 Mo 2.71
Mo  0.0000  0.3704  0.1204  4 Mo 2.68-2.73, 2 Cr 2.69, 2 Re 2.73
Re  0.5000  0.6250  0.3750  8 Mo 2.71-2.73
Mo  0.0000  0.3742  0.6258  8 Mo 2.68-2.73
Mo  0.5000  0.6250  0.8750  2 Cr 2.71, 2 Re 2.71, 4 Mo 2.71
Mo  0.0000  0.8758  0.1242  8 Mo 2.68-2.73
Cr  0.5000  0.1250  0.8750  8 Mo 2.69-2.71
Mo  0.0000  0.8796  0.6296  4 Mo 2.68-2.73, 2 Cr 2.69, 2 Re 2.73

Properties
* space group: Cmmm (65)
* density: 11.05 g/cm3



Q) A relaxed CrReMo6 crystal. Source: Alexandria, functional GGA-PBE.

a = 7.0396 Å, b = 7.0397 Å, c = 4.9793 Å
α = 45.10°, β = 45.10°, γ = 60.09°
Last column: nearest neighbours and their distance in Å.
Fractional positions:
Mo  0.4996  0.7530  0.7470  2 Mo 2.46-2.52
Cr  0.0000  0.0000  0.0000  12 Mo 2.77-2.79
Mo  0.9999  0.5010  0.2520  2 Mo 2.46-2.52
Mo  0.0001  0.4990  0.7480  2 Mo 2.46-2.52
Re  0.5000  0.5000  0.5000  12 Mo 2.79-2.80
Mo  0.5004  0.2470  0.2530  2 Mo 2.46-2.52
Mo  0.7528  0.0000  0.7480  2 Mo 2.46-2.52
Mo  0.2472  0.0000  0.2520  2 Mo 2.46-2.52

Properties
* space group: R-3 (148)
* density: 10.91 g/cm3



Short version: P) is the most stable of them.